Entry 1:
Compound: Pm12Pr5Hg2
Source: Alexandria via LeMat-Bulk
Functional: PBE
Structure: optimized geometry

Properties
Formation energy from the elements ... 66 meV per atom
M_tot ... 0.0 μB per formula unit
E ... -4.2238 eV per atom

Cell lengths 9.6667, 9.6667, 8.9237 Å; angles 99.57, 99.57, 53.82 degrees
Closest atoms and distances in Å follow each position.
Sites, in units of the cell vectors:
1 Pm 0.0204 0.0204 0.1917  2 Hg 3.19, 1 Pm 3.36
2 Pm 0.1342 0.5299 0.7963  3 Pr 3.23-3.60, 3 Pm 3.24-3.59
3 Pm 0.1691 0.5768 0.2374  1 Hg 3.11
4 Pm 0.4232 0.8309 0.7626  1 Hg 3.11
5 Pm 0.4355 0.4355 0.5969  3 Pm 3.06-3.24, 2 Hg 3.29
6 Pm 0.4701 0.8658 0.2037  3 Pr 3.23-3.60, 3 Pm 3.24-3.59
7 Pm 0.5299 0.1342 0.7963  3 Pr 3.23-3.60, 3 Pm 3.24-3.59
8 Pm 0.5645 0.5645 0.4031  3 Pm 3.06-3.24, 2 Hg 3.29
9 Pm 0.5768 0.1691 0.2374  1 Hg 3.11
10 Pm 0.8309 0.4232 0.7626  1 Hg 3.11
11 Pm 0.8658 0.4701 0.2037  3 Pr 3.23-3.60, 3 Pm 3.24-3.59
12 Pm 0.9796 0.9796 0.8083  2 Hg 3.19, 1 Pm 3.36
13 Pr 0.2074 0.2074 0.0245  6 Pm 3.23-3.59
14 Pr 0.2093 0.2093 0.4861  8 Pm 3.60-4.02, 2 Hg 3.92
15 Pr 0.5000 0.5000 0.0000  10 Pm 3.56-3.77
16 Pr 0.7907 0.7907 0.5139  8 Pm 3.60-4.02, 2 Hg 3.92
17 Pr 0.7926 0.7926 0.9755  6 Pm 3.23-3.59
18 Hg 0.1670 0.8330 0.5000  1 Hg 2.92, 4 Pm 3.11-3.19
19 Hg 0.8330 0.1670 0.5000  1 Hg 2.92, 4 Pm 3.11-3.19

Entry 2:
Compound: Eu2GaSi
Source: Alexandria via LeMat-Bulk
Functional: PBE
Structure: optimized geometry

Properties
E above lowest polymorph ... 0.3 kJ/mol of atoms
Energy relative to the elements, uncorrected ... -0.393 eV per atom
M_tot ... 14.0 μB per formula unit
E ... -7.6425 eV per atom

Cell lengths 3.7177, 3.7177, 7.3294 Å; angles 90.00, 90.00, 90.00 degrees
Closest atoms and distances in Å follow each position.
Sites, in units of the cell vectors:
1 Eu 0.0000 0.0000 0.2377  4 Si 3.15, 4 Ga 3.26, 1 Eu 3.48
2 Eu 0.0000 0.0000 0.7623  4 Si 3.15, 4 Ga 3.26, 1 Eu 3.48
3 Ga 0.5000 0.5000 0.5000  8 Eu 3.26
4 Si 0.5000 0.5000 0.0000  8 Eu 3.15

Entry 3:
Compound: RbBF4
Source: Alexandria via LeMat-Bulk
Functional: PBE
Structure: optimized geometry

Properties
Energy relative to the elements, uncorrected ... -3.019 eV per atom
M_tot ... 0.0 μB per formula unit
E ... -5.5412 eV per atom

Cell lengths 7.7468, 7.7468, 7.7468 Å; angles 140.25, 140.25, 57.48 degrees
Closest atoms and distances in Å follow each position.
Sites, in units of the cell vectors:
1 Rb 0.3750 0.6250 0.7500  12 F 2.97-3.12
2 Rb 0.6250 0.3750 0.2500  12 F 2.97-3.12
3 B 0.1250 0.8750 0.2500  4 F 1.42
4 B 0.8750 0.1250 0.7500  4 F 1.42
5 F 0.1558 0.1846 0.9712  1 B 1.42
6 F 0.1846 0.1558 0.4712  1 B 1.42
7 F 0.1846 0.7134 0.0288  1 B 1.42
8 F 0.2866 0.8154 0.4712  1 B 1.42
9 F 0.7134 0.1846 0.5288  1 B 1.42
10 F 0.8154 0.2866 0.9712  1 B 1.42
11 F 0.8154 0.8442 0.5288  1 B 1.42
12 F 0.8442 0.8154 0.0288  1 B 1.42

Entry 4:
Compound: MnCdHg2
Source: Alexandria via LeMat-Bulk
Functional: PBE
Structure: optimized geometry

Properties
Formation energy from the elements ... 310 meV per atom
M_tot ... 3.8 μB per formula unit
E ... -2.3625 eV per atom

Cell lengths 4.8717, 4.8717, 4.8717 Å; angles 60.00, 60.00, 60.00 degrees
Closest atoms and distances in Å follow each position.
Sites, in units of the cell vectors:
1 Mn 0.0000 0.0000 0.0000  4 Cd 2.98, 4 Hg 2.98
2 Cd 0.7500 0.7500 0.7500  4 Hg 2.98, 4 Mn 2.98
3 Hg 0.2500 0.2500 0.2500  4 Hg 2.98, 4 Mn 2.98
4 Hg 0.5000 0.5000 0.5000  4 Hg 2.98, 4 Cd 2.98

Entry 5:
Compound: LiCeMnGe2
Source: Alexandria via LeMat-Bulk
Functional: PBE
Structure: optimized geometry

Properties
Formation energy from the elements ... -474 meV per atom
M_tot ... 4.0 μB per formula unit
E ... -5.7245 eV per atom

Cell lengths 6.1279, 6.1279, 6.1279 Å; angles 140.51, 140.51, 57.09 degrees
Closest atoms and distances in Å follow each position.
Sites, in units of the cell vectors:
1 Li 0.0000 0.0000 0.0000  4 Ge 2.51
2 Ce 0.2500 0.7500 0.5000  8 Ge 3.19, 4 Mn 3.40, 4 Li 3.40
3 Mn 0.5000 0.5000 0.0000  4 Ge 2.51
4 Ge 0.6317 0.1317 0.5000  2 Li 2.51, 2 Mn 2.51, 1 Ge 2.55
5 Ge 0.8683 0.3683 0.5000  2 Mn 2.51, 2 Li 2.51, 1 Ge 2.55

Entry 6:
Compound: InTc2Rh
Source: Alexandria via LeMat-Bulk
Functional: PBE
Structure: optimized geometry

Properties
Formation energy from the elements ... 168 meV per atom
M_tot ... 0.0 μB per formula unit
E ... -7.5373 eV per atom

Cell lengths 3.7409, 3.7409, 4.5302 Å; angles 90.00, 90.00, 90.00 degrees
Closest atoms and distances in Å follow each position.
Sites, in units of the cell vectors:
1 In 0.0000 0.0000 0.0000  4 Rh 2.65, 8 Tc 2.94
2 Tc 0.0000 0.5000 0.5000  4 Tc 2.65, 4 Rh 2.94, 4 In 2.94
3 Tc 0.5000 0.0000 0.5000  4 Tc 2.65, 4 Rh 2.94, 4 In 2.94
4 Rh 0.5000 0.5000 0.0000  4 In 2.65, 8 Tc 2.94

Entry 7:
Compound: PuRuRh2
Source: Alexandria via LeMat-Bulk
Functional: PBE
Structure: optimized geometry

Properties
Formation energy from the elements ... -262 meV per atom
M_tot ... 3.2 μB per formula unit
E ... -9.8397 eV per atom

Cell lengths 3.9726, 3.9726, 4.1367 Å; angles 90.00, 90.00, 90.00 degrees
Closest atoms and distances in Å follow each position.
Sites, in units of the cell vectors:
1 Pu 0.0000 0.0000 0.0000  4 Ru 2.81, 8 Rh 2.87
2 Ru 0.5000 0.5000 0.0000  4 Pu 2.81, 8 Rh 2.87
3 Rh 0.0000 0.5000 0.5000  4 Rh 2.81, 4 Ru 2.87, 4 Pu 2.87
4 Rh 0.5000 0.0000 0.5000  4 Rh 2.81, 4 Ru 2.87, 4 Pu 2.87

Entry 8:
Compound: YOsPb2
Source: Alexandria via LeMat-Bulk
Functional: PBE
Structure: optimized geometry

Properties
E above lowest polymorph ... 19.2 kJ/mol of atoms
Formation energy from the elements ... 339 meV per atom
M_tot ... 0.0 μB per formula unit
E ... -5.9387 eV per atom

Cell lengths 5.6191, 5.6191, 5.6191 Å; angles 133.10, 133.10, 68.50 degrees
Closest atoms and distances in Å follow each position.
Sites, in units of the cell vectors:
1 Y 0.0000 0.0000 0.0000  8 Pb 3.16-3.22, 4 Os 3.22
2 Os 0.2500 0.7500 0.5000  8 Pb 3.16-3.22, 4 Y 3.22
3 Pb 0.5000 0.5000 0.0000  4 Y 3.16, 4 Pb 3.22, 4 Os 3.22
4 Pb 0.7500 0.2500 0.5000  4 Os 3.16, 4 Pb 3.22, 4 Y 3.22

Entry 9:
Compound: AcLuMgCd
Source: Alexandria via LeMat-Bulk
Functional: PBE
Structure: optimized geometry

Properties
Formation energy from the elements ... -130 meV per atom
M_tot ... 0.0 μB per formula unit
E ... -2.9147 eV per atom

Cell lengths 5.5337, 5.5337, 5.5337 Å; angles 60.00, 60.00, 60.00 degrees
Closest atoms and distances in Å follow each position.
Sites, in units of the cell vectors:
1 Ac 0.0000 0.0000 0.0000  4 Cd 3.39, 4 Mg 3.39
2 Lu 0.5000 0.5000 0.5000  4 Cd 3.39, 4 Mg 3.39
3 Mg 0.2500 0.2500 0.2500  4 Ac 3.39, 4 Lu 3.39
4 Cd 0.7500 0.7500 0.7500  4 Ac 3.39, 4 Lu 3.39

Entry 10:
Compound: TmScAs2O8
Source: Alexandria via LeMat-Bulk
Functional: PBE
Structure: optimized geometry

Properties
Energy relative to the elements, uncorrected ... -2.277 eV per atom
M_tot ... 0.0 μB per formula unit
E ... -7.2578 eV per atom

Cell lengths 6.5241, 6.5241, 6.5241 Å; angles 135.59, 135.59, 64.61 degrees
Closest atoms and distances in Å follow each position.
Sites, in units of the cell vectors:
1 Tm 0.0000 0.0000 0.0000  8 O 2.27-2.38
2 Sc 0.7500 0.2500 0.5000  8 O 2.22-2.34
3 As 0.2500 0.7500 0.5000  4 O 1.74
4 As 0.5000 0.5000 0.0000  4 O 1.73
5 O 0.0079 0.9298 0.5940  1 As 1.74
6 O 0.0702 0.6642 0.0781  1 As 1.74
7 O 0.1616 0.2631 0.5882  1 As 1.73
8 O 0.3358 0.4138 0.4060  1 As 1.74
9 O 0.4266 0.8384 0.1016  1 As 1.73
10 O 0.5862 0.9921 0.9219  1 As 1.74
11 O 0.6749 0.5734 0.4118  1 As 1.73
12 O 0.7369 0.3251 0.8984  1 As 1.73

Entry 11:
Compound: LaCe3Pt8
Source: Alexandria via LeMat-Bulk
Functional: PBE
Structure: optimized geometry

Properties
Formation energy from the elements ... -980 meV per atom
M_tot ... 2.4 μB per formula unit
E ... -6.9013 eV per atom

Cell lengths 5.4933, 5.4933, 9.1026 Å; angles 90.00, 90.00, 120.00 degrees
Closest atoms and distances in Å follow each position.
Sites, in units of the cell vectors:
1 La 0.0000 0.0000 0.0000  12 Pt 3.23-3.29, 4 Ce 3.40-3.44
2 Ce 0.0000 0.0000 0.3775  12 Pt 3.20-3.25, 3 Ce 3.34, 1 La 3.44
3 Ce 0.6667 0.3333 0.4919  12 Pt 3.19-3.25, 4 Ce 3.34-3.41
4 Ce 0.6667 0.3333 0.8669  12 Pt 3.22-3.31, 3 La 3.40, 1 Ce 3.41
5 Pt 0.1662 0.3324 0.6825  6 Pt 2.74-2.79
6 Pt 0.1662 0.8338 0.6825  6 Pt 2.74-2.79
7 Pt 0.3333 0.6667 0.4345  6 Pt 2.76
8 Pt 0.3333 0.6667 0.9340  6 Pt 2.79-2.80
9 Pt 0.5009 0.0018 0.1867  6 Pt 2.73-2.80
10 Pt 0.5009 0.4991 0.1867  6 Pt 2.73-2.80
11 Pt 0.6676 0.8338 0.6825  6 Pt 2.74-2.79
12 Pt 0.9982 0.4991 0.1867  6 Pt 2.73-2.80

Entry 12:
Compound: Hf2CdHg
Source: Alexandria via LeMat-Bulk
Functional: PBE
Structure: optimized geometry

Properties
E above lowest polymorph ... 50.1 kJ/mol of atoms
Formation energy from the elements ... 440 meV per atom
M_tot ... 0.0 μB per formula unit
E ... -4.8407 eV per atom

Cell lengths 5.9324, 5.9324, 5.9324 Å; angles 46.16, 46.16, 46.16 degrees
Closest atoms and distances in Å follow each position.
Sites, in units of the cell vectors:
1 Hf 0.0000 0.0000 0.0000  3 Hg 2.92, 1 Hf 3.16, 3 Cd 3.24
2 Hf 0.1994 0.1994 0.1994  3 Hg 2.86, 3 Cd 3.00, 1 Hf 3.16
3 Cd 0.7813 0.7813 0.7813  1 Hg 2.96, 6 Hf 3.00-3.24
4 Hg 0.5947 0.5947 0.5947  6 Hf 2.86-2.92, 1 Cd 2.96

Calculated calculated volume (Å³/cell), listed in the same order as above: 661.3; 101.3; 188.5; 81.8; 92.3; 63.4; 65.3; 92.9; 119.8; 134.1; 237.9; 99.1
Calculated DOS(E_F) (states/eV/cell), listed in the same order as above: 26.277; 9.883; 0.000; 1.648; 5.276; 3.589; 10.647; 4.541; 4.509; 0.000; 20.129; 5.660